A geometry-optimized Er12Tm6Zr structure. Source: Alexandria, functional GGA-PBE.

```
Er12Tm6Zr
1.0
-1.1214 2.3023 8.1289
-2.8407 -8.0181 0.5267
8.3715 -1.5785 0.2496
Tm Zr Er
6 1 12
direct
0.6676 0.0989 0.0989
0.0989 0.6676 0.0989
0.9011 0.9011 0.3324
0.0989 0.0989 0.6676
0.3324 0.9011 0.9011
0.9011 0.3324 0.9011
0.0000 0.0000 0.0000
0.5000 0.2440 0.7560
0.6497 0.6497 0.9188
0.5000 0.7560 0.2440
0.3503 0.3503 0.0812
0.0812 0.3503 0.3503
0.7560 0.2440 0.5000
0.2440 0.7560 0.5000
0.9188 0.6497 0.6497
0.2440 0.5000 0.7560
0.6497 0.9188 0.6497
0.3503 0.0812 0.3503
0.7560 0.5000 0.2440
```

## Properties
VASP energy   -85.5 eV/cell
Symmetry   No. 166
Volume   31.3 Å³/atom
Size of the total moment   0.17 μB per atom